No. 1
Here is a relaxed La3CePr2P6 crystal from Alexandria via LeMat-Bulk. Energies are from GGA-PBE.

Properties
The value obtained for the calculated volume is 319 Å³/f.u. As for the magnetic moment: 0.4 μB/cell. The calculated formation energy comes out at -18.589 eV/f.u.

POSCAR file:
```
La3CePr2P6
1.0
3.6521 -6.3235 0.0000
3.6521 6.3235 0.0000
-2.4344 0.0000 6.8971
La Ce Pr P
3 1 2 6
direct
0.0000 0.0000 0.0000
0.3323 0.6677 0.0000
0.6677 0.3323 0.0000
0.5000 0.5000 0.5000
0.1663 0.8337 0.5000
0.8337 0.1663 0.5000
0.0927 0.4189 0.2563
0.2554 0.2554 0.7437
0.4189 0.0927 0.2563
0.5811 0.9073 0.7437
0.7446 0.7446 0.2563
0.9073 0.5811 0.7437
```


No. 2
Here is a relaxed La3Ce2PuP6 crystal from Alexandria via LeMat-Bulk. Energies are from GGA-PBE.

Properties
The value obtained for the calculated volume is 307 Å³/f.u. As for the magnetic moment: 6.2 μB/cell. The calculated formation energy comes out at -17.588 eV/f.u.

POSCAR file:
```
La3Ce2PuP6
1.0
3.6055 -6.2442 0.0000
3.6055 6.2442 0.0000
-2.4051 0.0000 6.8195
La Ce Pu P
3 2 1 6
direct
0.0000 0.0000 0.0000
0.3329 0.6671 0.0000
0.6671 0.3329 0.0000
0.1666 0.8334 0.5000
0.8334 0.1666 0.5000
0.5000 0.5000 0.5000
0.0905 0.4217 0.2650
0.2472 0.2472 0.7354
0.4217 0.0905 0.2650
0.5783 0.9095 0.7350
0.7528 0.7528 0.2646
0.9095 0.5783 0.7350
```


No. 3
Here is a relaxed LaCe3Pu2P6 crystal from Alexandria via LeMat-Bulk. Energies are from GGA-PBE.

Properties
The value obtained for the calculated volume is 291 Å³/f.u. As for the magnetic moment: 12.0 μB/cell. The calculated formation energy comes out at -16.619 eV/f.u.

POSCAR file:
```
LaCe3Pu2P6
1.0
3.5472 -6.1426 0.0000
3.5472 6.1426 0.0000
-2.3687 0.0000 6.6746
La Ce Pu P
1 3 2 6
direct
0.0000 0.0000 0.0000
0.1645 0.8355 0.5000
0.5000 0.5000 0.5000
0.8355 0.1645 0.5000
0.3328 0.6672 0.0000
0.6672 0.3328 0.0000
0.0839 0.4277 0.2508
0.2611 0.2611 0.7509
0.4277 0.0839 0.2508
0.5723 0.9161 0.7492
0.7389 0.7389 0.2491
0.9161 0.5723 0.7492
```


No. 4
Here is a relaxed La3CePu2P6 crystal from Alexandria via LeMat-Bulk. Energies are from GGA-PBE.

Properties
The value obtained for the calculated volume is 303 Å³/f.u. As for the magnetic moment: 10.6 μB/cell. The calculated formation energy comes out at -16.816 eV/f.u.

POSCAR file:
```
La3CePu2P6
1.0
3.5938 -6.2228 0.0000
3.5938 6.2228 0.0000
-2.3966 0.0000 6.7834
La Ce Pu P
3 1 2 6
direct
0.0000 0.0000 0.0000
0.3338 0.6662 0.0000
0.6662 0.3338 0.0000
0.5000 0.5000 0.5000
0.1667 0.8333 0.5000
0.8333 0.1667 0.5000
0.0859 0.4225 0.2677
0.2407 0.2407 0.7321
0.4225 0.0859 0.2677
0.5775 0.9141 0.7323
0.7593 0.7593 0.2679
0.9141 0.5775 0.7323
```


No. 5
Here is a relaxed La2Ce3PuP6 crystal from Alexandria via LeMat-Bulk. Energies are from GGA-PBE.

Properties
The value obtained for the calculated volume is 301 Å³/f.u. As for the magnetic moment: 6.9 μB/cell. The calculated formation energy comes out at -17.444 eV/f.u.

POSCAR file:
```
La2Ce3PuP6
1.0
9.0245 -2.0690 0.0000
9.0245 2.0690 0.0000
-1.9059 0.0000 8.0570
La Ce Pu P
2 3 1 6
direct
0.1653 0.1653 0.3318
0.8347 0.8347 0.6682
0.1669 0.1669 0.8352
0.5000 0.5000 0.5000
0.8331 0.8331 0.1648
0.5000 0.5000 0.0000
0.0034 0.0034 0.7560
0.3342 0.3342 0.9258
0.3360 0.3360 0.4080
0.6640 0.6640 0.5920
0.6658 0.6658 0.0742
0.9966 0.9966 0.2440
```


No. 6
Here is a relaxed La4Ce3PuP8 crystal from Alexandria via LeMat-Bulk. Energies are from GGA-PBE.

Properties
The value obtained for the calculated volume is 410 Å³/f.u. As for the magnetic moment: 6.7 μB/cell. The calculated formation energy comes out at -23.739 eV/f.u.

POSCAR file:
```
La4Ce3PuP8
1.0
4.1657 2.4051 6.8230
-4.1657 2.4051 6.8230
0.0000 -4.8101 6.8230
La Ce Pu P
4 3 1 8
direct
0.0000 0.0000 0.0000
0.0000 0.5000 0.5000
0.5000 0.0000 0.5000
0.5000 0.5000 0.0000
0.0000 0.0000 0.5000
0.0000 0.5000 0.0000
0.5000 0.0000 0.0000
0.5000 0.5000 0.5000
0.2456 0.2456 0.2456
0.2469 0.7442 0.7442
0.2558 0.2558 0.7531
0.2558 0.7531 0.2558
0.7442 0.2469 0.7442
0.7442 0.7442 0.2469
0.7531 0.2558 0.2558
0.7544 0.7544 0.7544
```


No. 7
Here is a relaxed LaCePu2P4 crystal from Alexandria via LeMat-Bulk. Energies are from GGA-PBE.

Properties
The value obtained for the calculated volume is 193 Å³/f.u. As for the magnetic moment: 0.2 μB/cell. The calculated formation energy comes out at -10.405 eV/f.u.

POSCAR file:
```
LaCePu2P4
1.0
7.0669 0.0000 0.0000
0.0000 4.0909 0.0000
-2.3868 0.0000 6.6743
La Ce Pu P
1 1 2 4
direct
0.0000 0.0000 0.0000
0.0000 0.5000 0.5000
0.5000 0.0000 0.5000
0.5000 0.5000 0.0000
0.2593 0.0000 0.7475
0.2651 0.5000 0.2633
0.7349 0.5000 0.7367
0.7407 0.0000 0.2525
```


No. 8
Here is a relaxed La2CePuP4 crystal from Alexandria via LeMat-Bulk. Energies are from GGA-PBE.

Properties
The value obtained for the calculated volume is 203 Å³/f.u. As for the magnetic moment: 5.6 μB/cell. The calculated formation energy comes out at -11.472 eV/f.u.

POSCAR file:
```
La2CePuP4
1.0
7.1950 0.0000 0.0000
0.0000 4.1565 0.0000
-2.4095 0.0000 6.8020
La Ce Pu P
2 1 1 4
direct
0.0000 0.0000 0.0000
0.5000 0.5000 0.0000
0.0000 0.5000 0.5000
0.5000 0.0000 0.5000
0.2463 0.0000 0.7350
0.2584 0.5000 0.2675
0.7416 0.5000 0.7325
0.7537 0.0000 0.2650
```


No. 9
Here is a relaxed LaCe2PuP4 crystal from Alexandria via LeMat-Bulk. Energies are from GGA-PBE.

Properties
The value obtained for the calculated volume is 197 Å³/f.u. As for the magnetic moment: 6.3 μB/cell. The calculated formation energy comes out at -11.324 eV/f.u.

POSCAR file:
```
LaCe2PuP4
1.0
7.1281 0.0000 0.0000
0.0000 4.1176 0.0000
-2.3862 0.0000 6.7210
La Ce Pu P
1 2 1 4
direct
0.0000 0.0000 0.0000
0.5000 0.0000 0.5000
0.5000 0.5000 0.0000
0.0000 0.5000 0.5000
0.2504 0.0000 0.7418
0.2582 0.5000 0.2605
0.7418 0.5000 0.7395
0.7496 0.0000 0.2582
```


No. 10
Here is a relaxed La2CeP3Rh12 crystal from Alexandria via LeMat-Bulk. Energies are from GGA-PBE.

Properties
The value obtained for the calculated volume is 306 Å³/f.u. As for the magnetic moment: 0.0 μB/cell. The calculated formation energy comes out at -7.501 eV/f.u.

POSCAR file:
```
La2CeP3Rh12
1.0
4.4487 2.5685 4.4602
-4.4487 2.5685 4.4602
0.0000 -5.1369 4.4602
La Ce P Rh
2 1 3 12
direct
0.1171 0.1171 0.1171
0.8829 0.8829 0.8829
0.5000 0.5000 0.5000
0.0000 0.5000 0.5000
0.5000 0.0000 0.5000
0.5000 0.5000 0.0000
0.1470 0.1470 0.5843
0.1470 0.5843 0.1470
0.1566 0.6767 0.6767
0.3233 0.3233 0.8434
0.3233 0.8434 0.3233
0.4157 0.8530 0.8530
0.5843 0.1470 0.1470
0.6767 0.1566 0.6767
0.6767 0.6767 0.1566
0.8434 0.3233 0.3233
0.8530 0.4157 0.8530
0.8530 0.8530 0.4157
```


No. 11
Here is a relaxed La2CeP3Rh4 crystal from Alexandria via LeMat-Bulk. Energies are from GGA-PBE.

Properties
The value obtained for the calculated volume is 188 Å³/f.u. As for the magnetic moment: 0.0 μB/cell. The calculated formation energy comes out at -10.666 eV/f.u.

POSCAR file:
```
La2CeP3Rh4
1.0
4.1166 0.0000 0.0000
0.0000 4.1166 0.0000
0.0000 0.0000 11.0894
La Ce P Rh
2 1 3 4
direct
0.0000 0.5000 0.2243
0.5000 0.0000 0.7757
0.0000 0.0000 0.5000
0.0000 0.5000 0.8766
0.5000 0.0000 0.1234
0.5000 0.5000 0.5000
0.0000 0.0000 0.0000
0.0000 0.5000 0.6613
0.5000 0.0000 0.3387
0.5000 0.5000 0.0000
```